1.
Compound: Nd12YAl4O3
Source: Alexandria via LeMat-Bulk
Functional: PBE
Structure: relaxed

Unit cell a=8.8218 b=8.8218 c=8.8218 alpha=109.47 beta=109.47 gamma=109.47
Last column: nearest neighbours and their distance in Å.
Element x y z (fractional)
Nd (0.2500, 0.5000, 0.7500)  2 O 2.55
Nd (0.7272, 0.0000, 0.7272)  1 O 2.31
Nd (0.2728, 0.0000, 0.2728)  1 O 2.31
Nd (0.7500, 0.5000, 0.2500)  2 O 2.55
Nd (0.7272, 0.7272, 0.0000)  1 O 2.31
Nd (0.2728, 0.2728, 0.0000)  1 O 2.31
Nd (0.7500, 0.2500, 0.5000)  2 O 2.55
Nd (0.2500, 0.7500, 0.5000)  2 O 2.55
Nd (0.5000, 0.2500, 0.7500)  2 O 2.55
Nd (0.0000, 0.7272, 0.7272)  1 O 2.31
Nd (0.5000, 0.7500, 0.2500)  2 O 2.55
Nd (0.0000, 0.2728, 0.2728)  1 O 2.31
Y (0.0000, 0.0000, 0.0000)  6 Nd 2.78
Al (0.5000, 0.5000, 0.5000)  12 Nd 3.60-3.61
Al (0.0000, 0.0000, 0.5000)  12 Nd 3.60-3.61
Al (0.5000, 0.0000, 0.0000)  12 Nd 3.60-3.61
Al (0.0000, 0.5000, 0.0000)  12 Nd 3.60-3.61
O (0.5000, 0.0000, 0.5000)  6 Nd 2.31-2.55
O (0.5000, 0.5000, 0.0000)  6 Nd 2.31-2.55
O (0.0000, 0.5000, 0.5000)  6 Nd 2.31-2.55

Output
Theoretical density ... 6.208 g/cm³
Total DFT energy (no corrections) ... -5.335 eV per atom
Symmetry ... Im-3m (229)
Formation energy without anion corrections ... -63.6 kJ/mol of atoms

***

2.
Compound: Nd2YAlO
Source: Alexandria via LeMat-Bulk
Functional: PBE
Structure: relaxed

Unit cell a=4.7192 b=4.9534 c=4.9534 alpha=90.00 beta=90.00 gamma=90.00
Last column: nearest neighbours and their distance in Å.
Element x y z (fractional)
Nd (0.0000, 0.0000, 0.5000)  2 O 2.48
Nd (0.0000, 0.5000, 0.0000)  2 O 2.48
Y (0.5000, 0.0000, 0.0000)  2 O 2.36
Al (0.5000, 0.5000, 0.5000)  8 Nd 3.42, 4 Y 3.50
O (0.0000, 0.0000, 0.0000)  2 Y 2.36, 4 Nd 2.48

Output
Theoretical density ... 6.028 g/cm³
Total DFT energy (no corrections) ... -6.268 eV per atom
Symmetry ... P4/mmm (123)
Formation energy without anion corrections ... -128.1 kJ/mol of atoms

***

3.
Compound: Nd2AlZnO6
Source: Alexandria via LeMat-Bulk
Functional: PBE
Structure: relaxed

Unit cell a=5.4436 b=5.6471 c=7.7150 alpha=90.00 beta=90.28 gamma=90.00
Last column: nearest neighbours and their distance in Å.
Element x y z (fractional)
Nd (0.0147, 0.9424, 0.2489)  6 O 2.37-2.58
Nd (0.5147, 0.5576, 0.7489)  6 O 2.37-2.58
Nd (0.9853, 0.0576, 0.7511)  6 O 2.37-2.58
Nd (0.4853, 0.4424, 0.2511)  6 O 2.37-2.58
Al (0.5000, 0.0000, 0.0000)  6 O 1.91-1.95
Al (0.0000, 0.5000, 0.5000)  6 O 1.91-1.95
Zn (0.5000, 0.0000, 0.5000)  6 O 2.07-2.13
Zn (0.0000, 0.5000, 0.0000)  6 O 2.07-2.13
O (0.3068, 0.7170, 0.0476)  1 Al 1.95, 1 Zn 2.10
O (0.8068, 0.7830, 0.5476)  1 Al 1.95, 1 Zn 2.10
O (0.6932, 0.2830, 0.9524)  1 Al 1.95, 1 Zn 2.10
O (0.1932, 0.2170, 0.4524)  1 Al 1.95, 1 Zn 2.10
O (0.2824, 0.6928, 0.4559)  1 Al 1.92, 1 Zn 2.13
O (0.7824, 0.8072, 0.9559)  1 Al 1.92, 1 Zn 2.13
O (0.7176, 0.3072, 0.5441)  1 Al 1.92, 1 Zn 2.13
O (0.2176, 0.1928, 0.0441)  1 Al 1.92, 1 Zn 2.13
O (0.9128, 0.5242, 0.2601)  1 Al 1.91, 1 Zn 2.07
O (0.4128, 0.9758, 0.7601)  1 Al 1.91, 1 Zn 2.07
O (0.0872, 0.4758, 0.7399)  1 Al 1.91, 1 Zn 2.07
O (0.5872, 0.0242, 0.2399)  1 Al 1.91, 1 Zn 2.07

Output
Theoretical density ... 6.678 g/cm³
Total DFT energy (no corrections) ... -7.085 eV per atom
Symmetry ... P2_1/c (14)
Formation energy without anion corrections ... -256.2 kJ/mol of atoms

***

4.
Compound: Nd3Al3Os
Source: Alexandria via LeMat-Bulk
Functional: PBE
Structure: relaxed

Unit cell a=3.9832 b=6.1806 c=15.0355 alpha=82.46 beta=82.39 gamma=71.20
Last column: nearest neighbours and their distance in Å.
Element x y z (fractional)
Nd (0.5186, 0.3512, 0.6116)  3 Os 3.12-3.47, 5 Al 3.18-3.36
Nd (0.4814, 0.6488, 0.3884)  3 Os 3.12-3.47, 5 Al 3.18-3.36
Nd (0.2598, 0.2387, 0.2417)  2 Os 2.93, 2 Al 3.16
Nd (0.7402, 0.7613, 0.7583)  2 Os 2.93, 2 Al 3.16
Nd (0.3774, 0.3257, 0.9195)  7 Al 3.18-3.28
Nd (0.6226, 0.6743, 0.0805)  7 Al 3.18-3.28
Al (0.8183, 0.8288, 0.5347)  3 Os 2.53-2.64
Al (0.1817, 0.1712, 0.4653)  3 Os 2.53-2.64
Al (0.0946, 0.8852, 0.9256)  2 Al 2.70-2.75
Al (0.9054, 0.1148, 0.0744)  2 Al 2.70-2.75
Al (0.9730, 0.8235, 0.2306)  1 Os 2.66, 1 Al 2.75
Al (0.0270, 0.1765, 0.7694)  1 Os 2.66, 1 Al 2.75
Os (0.7826, 0.0607, 0.3741)  4 Al 2.53-2.66
Os (0.2174, 0.9393, 0.6259)  4 Al 2.53-2.66

Output
Theoretical density ... 6.761 g/cm³
Total DFT energy (no corrections) ... -5.607 eV per atom
DFT formation energy ... -34 kJ per mole of atoms
Symmetry ... C2/m (12)

***

5.
Compound: Nd3Al12Os4
Source: Alexandria via LeMat-Bulk
Functional: PBE
Structure: relaxed

Unit cell a=8.8903 b=8.8903 c=9.7252 alpha=90.00 beta=90.00 gamma=120.00
Last column: nearest neighbours and their distance in Å.
Element x y z (fractional)
Nd (0.1923, 0.3845, 0.2500)  11 Al 2.96-3.26
Nd (0.8077, 0.6155, 0.7500)  11 Al 2.96-3.26
Nd (0.6155, 0.8077, 0.2500)  11 Al 2.96-3.26
Nd (0.3845, 0.1923, 0.7500)  11 Al 2.96-3.26
Nd (0.1923, 0.8077, 0.2500)  11 Al 2.96-3.26
Nd (0.8077, 0.1923, 0.7500)  11 Al 2.96-3.26
Al (0.3333, 0.6667, 0.0128)  3 Os 2.57, 3 Al 2.75
Al (0.6667, 0.3333, 0.9872)  3 Os 2.57, 3 Al 2.75
Al (0.6667, 0.3333, 0.5128)  3 Os 2.57, 3 Al 2.75
Al (0.3333, 0.6667, 0.4872)  3 Os 2.57, 3 Al 2.75
Al (0.1636, 0.3272, 0.5735)  3 Os 2.62-2.69, 5 Al 2.75-2.90
Al (0.8364, 0.6728, 0.4265)  3 Os 2.62-2.69, 5 Al 2.75-2.90
Al (0.6728, 0.8364, 0.5735)  3 Os 2.62-2.69, 5 Al 2.75-2.90
Al (0.8364, 0.6728, 0.0735)  3 Os 2.62-2.69, 5 Al 2.75-2.90
Al (0.3272, 0.1636, 0.4265)  3 Os 2.62-2.69, 5 Al 2.75-2.90
Al (0.1636, 0.3272, 0.9265)  3 Os 2.62-2.69, 5 Al 2.75-2.90
Al (0.1636, 0.8364, 0.5735)  3 Os 2.62-2.69, 5 Al 2.75-2.90
Al (0.3272, 0.1636, 0.0735)  3 Os 2.62-2.69, 5 Al 2.75-2.90
Al (0.8364, 0.1636, 0.4265)  3 Os 2.62-2.69, 5 Al 2.75-2.90
Al (0.6728, 0.8364, 0.9265)  3 Os 2.62-2.69, 5 Al 2.75-2.90
Al (0.8364, 0.1636, 0.0735)  3 Os 2.62-2.69, 5 Al 2.75-2.90
Al (0.1636, 0.8364, 0.9265)  3 Os 2.62-2.69, 5 Al 2.75-2.90
Al (0.5626, 0.1253, 0.2500)  2 Os 2.62, 6 Al 2.77-2.86
Al (0.4374, 0.8747, 0.7500)  2 Os 2.62, 6 Al 2.77-2.86
Al (0.8747, 0.4374, 0.2500)  2 Os 2.62, 6 Al 2.77-2.86
Al (0.1253, 0.5626, 0.7500)  2 Os 2.62, 6 Al 2.77-2.86
Al (0.5626, 0.4374, 0.2500)  2 Os 2.62, 6 Al 2.77-2.86
Al (0.4374, 0.5626, 0.7500)  2 Os 2.62, 6 Al 2.77-2.86
Al (0.0000, 0.0000, 0.2500)  2 Os 2.43
Al (0.0000, 0.0000, 0.7500)  2 Os 2.43
Os (0.5000, 0.0000, 0.0000)  8 Al 2.57-2.69
Os (0.0000, 0.5000, 0.0000)  8 Al 2.57-2.69
Os (0.5000, 0.0000, 0.5000)  8 Al 2.57-2.69
Os (0.5000, 0.5000, 0.0000)  8 Al 2.57-2.69
Os (0.0000, 0.5000, 0.5000)  8 Al 2.57-2.69
Os (0.5000, 0.5000, 0.5000)  8 Al 2.57-2.69
Os (0.0000, 0.0000, 0.0000)  8 Al 2.43-2.62
Os (0.0000, 0.0000, 0.5000)  8 Al 2.43-2.62

Output
Theoretical density ... 7.570 g/cm³
Total DFT energy (no corrections) ... -6.052 eV per atom
DFT formation energy ... -55 kJ per mole of atoms
Symmetry ... P6_3/mmc (194)

***

6.
Compound: Nd8Al2Os
Source: Alexandria via LeMat-Bulk
Functional: PBE
Structure: relaxed

Unit cell a=5.3831 b=7.1113 c=9.3688 alpha=109.40 beta=106.70 gamma=90.00
Last column: nearest neighbours and their distance in Å.
Element x y z (fractional)
Nd (0.3993, 0.5834, 0.7986)  1 Os 2.89
Nd (0.6505, 0.9296, 0.3010)  1 Os 2.91
Nd (0.7971, 0.7320, 0.5942)  3 Al 3.18-3.36, 4 Nd 3.39-3.51
Nd (0.9883, 0.2234, 0.9767)  2 Os 3.17, 1 Al 3.29, 3 Nd 3.34-3.36
Nd (0.2029, 0.2680, 0.4058)  3 Al 3.18-3.36, 4 Nd 3.39-3.51
Nd (0.3495, 0.0704, 0.6990)  1 Os 2.91
Nd (0.6007, 0.4166, 0.2014)  1 Os 2.89
Nd (0.0117, 0.7766, 0.0233)  2 Os 3.17, 1 Al 3.29, 3 Nd 3.34-3.36
Al (0.8193, 0.3078, 0.6385)  9 Nd 3.18-3.36
Al (0.1807, 0.6922, 0.3615)  9 Nd 3.18-3.36
Os (0.5000, 0.0000, 0.0000)  8 Nd 2.89-3.17

Output
Theoretical density ... 7.205 g/cm³
Total DFT energy (no corrections) ... -5.306 eV per atom
DFT formation energy ... -13 kJ per mole of atoms
Symmetry ... C2/m (12)

***

7.
Compound: NdAl11Os
Source: Alexandria via LeMat-Bulk
Functional: PBE
Structure: relaxed

Unit cell a=5.2450 b=7.2145 c=6.8454 alpha=82.30 beta=67.47 gamma=69.52
Last column: nearest neighbours and their distance in Å.
Element x y z (fractional)
Nd (0.0000, 0.0000, 0.0000)  18 Al 3.28-3.61, 2 Os 3.64
Al (0.2812, 0.2278, 0.2188)  1 Os 2.62, 7 Al 2.67-2.90
Al (0.7188, 0.7722, 0.7812)  1 Os 2.62, 7 Al 2.67-2.90
Al (0.5001, 0.7722, 0.2188)  1 Os 2.62, 7 Al 2.67-2.90
Al (0.4999, 0.2278, 0.7812)  1 Os 2.62, 7 Al 2.67-2.90
Al (0.3642, 0.6393, 0.6530)  8 Al 2.70-2.97, 1 Os 2.71
Al (0.6358, 0.3607, 0.3470)  8 Al 2.70-2.97, 1 Os 2.71
Al (0.9829, 0.3607, 0.6530)  8 Al 2.70-2.97, 1 Os 2.71
Al (0.0171, 0.6393, 0.3470)  8 Al 2.70-2.97, 1 Os 2.71
Al (0.0000, 0.5000, 0.0000)  2 Os 2.62, 8 Al 2.67-2.74
Al (0.5000, 0.0000, 0.5000)  8 Al 2.62-2.89
Al (0.0000, 0.0000, 0.5000)  8 Al 2.62-2.89
Os (0.5000, 0.5000, 0.0000)  10 Al 2.62-2.71

Output
Theoretical density ... 4.677 g/cm³
Total DFT energy (no corrections) ... -4.642 eV per atom
DFT formation energy ... -24 kJ per mole of atoms
Symmetry ... C2/m (12)

***

8.
Compound: NdAl2Os
Source: Alexandria via LeMat-Bulk
Functional: PBE
Structure: relaxed

Unit cell a=4.2314 b=5.5094 c=4.7209 alpha=125.70 beta=90.00 gamma=90.00
Last column: nearest neighbours and their distance in Å.
Element x y z (fractional)
Nd (0.5000, 0.5000, 0.0000)  2 Os 2.75
Al (0.0000, 0.8252, 0.6505)  2 Os 2.50, 1 Al 2.68
Al (0.0000, 0.1748, 0.3495)  2 Os 2.50, 1 Al 2.68
Os (0.5000, 0.0000, 0.0000)  4 Al 2.50, 2 Nd 2.75

Output
Theoretical density ... 7.217 g/cm³
Total DFT energy (no corrections) ... -5.856 eV per atom
DFT formation energy ... 1 kJ per mole of atoms
Symmetry ... Cmmm (65)